Here is Er2Al3Si after structural relaxation from Alexandria. Energies are from PBE.

extended XYZ file:
```
6
Lattice="3.796 0.000 0.000 0.000 4.310 0.000 0.000 0.000 7.458" Properties=species:S:1:pos:R:3 pbc="T T T"
Er 0.000 0.000 0.000
Er 0.000 2.155 3.569
Al 1.898 0.000 4.844
Al 1.898 2.155 1.182
Al 1.898 2.155 6.121
Si 1.898 0.000 2.399
```

**Total DFT energy (no corrections)**: -4.7903 eV/atom